This record from Alexandria via LeMat-Bulk describes a relaxed structure of GaSnW2O. The functional is PBE with a Hubbard U.

Structure (POSCAR):
```
GaSnW2O
1.0
5.2535 0.0000 0.0000
0.0000 5.2535 0.0000
0.0000 0.0000 3.6580
Ga Sn W O
1 1 2 1
Direct
0.0000 0.0000 0.0000 Ga
0.5000 0.5000 0.5000 Sn
0.0000 0.5000 0.0000 W
0.5000 0.0000 0.0000 W
0.0000 0.0000 0.5000 O
```

E_tot, eV/atom: -4.29
Symmetry: P4/mmm, No. 123
DOS(E_F), states/eV per atom: 0.351
M_tot, μB per cell: 6.58